[1]
Zr2ScAlC after structural relaxation, computed with PBE.

The structure in POSCAR format:
```
Zr2ScAlC
1.0
-1.5678 1.5170 3.9889
-2.3124 -3.8736 0.5643
3.5223 -1.8012 2.0694
Al Zr C Sc
1 2 1 1
Cartesian
-0.1790 -2.0789 3.3113
-0.7839 0.7585 1.9944
-1.1562 -1.9368 0.2822
0.0000 0.0000 0.0000
1.7611 -0.9006 1.0347
```

Summary:
Density of states at the Fermi level in states/eV/f.u.: 2.475
SG: No. 123
Energy of formation from the pure elements in eV per formula unit: -2.766
Calculated total energy in eV/atom: -7.832



[2]
MnGaGeSe2 after structural relaxation, computed with PBE.

The structure in POSCAR format:
```
MnGaGeSe2
1.0
-1.2170 2.3864 -2.6779
2.2359 -4.2985 -3.4548
-6.0717 0.4626 3.4503
Mn Se Ge Ga
1 2 1 1
Cartesian
-0.9239 -0.1138 -3.9559
-3.8733 -2.1872 0.3540
-1.6090 -2.3814 -2.9762
-0.6286 -0.1587 -1.4060
-3.0606 -0.0669 -0.8325
```

Summary:
Density of states at the Fermi level in states/eV/f.u.: 0.675
Uncorrected formation energy in eV/atom: -0.190
SG: No. 1
Calculated total energy in eV/atom: -4.947
Energy relative to the lowest polymorph listed for this composition in meV per atom: 76.3



[3]
ScFe2H8 after structural relaxation, computed with PBE.

The structure in POSCAR format:
```
ScFe2H8
1.0
3.9154 0.0000 0.0000
0.0000 3.9154 0.0000
0.0000 0.0000 4.4568
H Fe Sc
8 2 1
Cartesian
0.8473 0.8473 3.5335
0.8473 3.0681 0.9233
3.0681 3.0681 3.5335
3.0681 3.0681 0.9233
0.8473 0.8473 0.9233
0.8473 3.0681 3.5335
3.0681 0.8473 0.9233
3.0681 0.8473 3.5335
1.9577 0.0000 0.0000
0.0000 1.9577 0.0000
1.9577 1.9577 2.2284
```

Summary:
Density of states at the Fermi level in states/eV/f.u.: 2.563
SG: No. 123
Calculated total energy in eV/atom: -4.676



[4]
Ce2HoTc after structural relaxation, computed with PBE.

The structure in POSCAR format:
```
Ce2HoTc
1.0
3.7830 0.0000 0.0000
1.8915 3.2761 0.0000
1.8915 1.0920 8.8865
Ho Ce Tc
1 2 1
Cartesian
3.7830 2.1841 4.4432
1.8915 1.0920 1.6429
5.6744 3.2761 7.2436
0.0000 0.0000 0.0000
```

Summary:
Density of states at the Fermi level in states/eV/f.u.: 7.392
SG: No. 166
Energy of formation from the pure elements in eV per formula unit: 0.606
Calculated total energy in eV/atom: -6.551
Energy relative to the lowest polymorph listed for this composition in meV per atom: 198.8



[5]
Ce3NpTl3Se8 after structural relaxation, computed with PBE.

The structure in POSCAR format:
```
Ce3NpTl3Se8
1.0
-2.9260 -7.3033 3.4200
1.2245 0.5815 -8.4704
7.4344 -0.4550 5.3888
Se Tl Ce Np
8 3 3 1
Cartesian
4.2435 -5.1515 -1.9108
5.7282 -1.4457 -3.6461
5.1069 -1.7408 0.6518
0.0048 -5.7312 3.9845
0.6260 -5.4361 -0.3134
2.0401 -1.7521 -1.9962
3.6928 -5.4248 2.3346
1.4894 -2.0254 2.2491
0.0000 0.0000 0.0000
-0.8507 -3.3609 -2.5252
0.6122 0.2907 -4.2352
4.3294 0.0632 -1.5408
2.8665 -3.5885 0.1692
2.2542 -3.8792 4.4044
3.7172 -0.2275 2.6944
```

Summary:
Density of states at the Fermi level in states/eV/f.u.: 23.117
Uncorrected formation energy in eV/atom: -1.289
SG: No. 166
Calculated total energy in eV/atom: -5.670



[6]
NdSm2C after structural relaxation, computed with PBE.

The structure in POSCAR format:
```
NdSm2C
1.0
-1.7495 2.9092 1.2257
-1.1618 0.1011 3.4156
7.7669 5.0561 4.3990
C Sm Nd
1 2 1
Cartesian
2.4278 4.0332 4.5202
4.6101 3.5919 3.3686
0.2456 4.4745 5.6717
0.0000 0.0000 0.0000
```

Summary:
Density of states at the Fermi level in states/eV/f.u.: 4.237
SG: No. 166
Energy of formation from the pure elements in eV per formula unit: -0.057
Calculated total energy in eV/atom: -5.872
Energy relative to the lowest polymorph listed for this composition in meV per atom: 66.1



[7]
Ho3Si3Pt2 after structural relaxation, computed with PBE.

The structure in POSCAR format:
```
Ho3Si3Pt2
1.0
-3.9990 1.1019 -3.8469
-3.1473 -7.1106 1.2351
-8.2590 5.4164 10.1369
Ho Pt Si
12 8 12
Cartesian
-8.1533 -3.4757 0.1543
-7.7212 -4.3209 3.7028
-9.8698 -0.3843 6.9840
-5.4267 -5.8257 0.8866
-5.1803 -1.0321 4.0157
-7.6841 3.7286 3.8223
-12.5195 1.9446 6.3256
-2.8858 -2.5369 1.1995
-10.2250 0.4398 3.5094
-7.2521 2.8833 7.3708
-9.9786 5.2334 6.6385
-5.5355 -0.2080 0.5411
-10.7595 -1.4246 9.7141
-7.7402 0.8107 5.1814
-4.6458 0.8323 -2.1890
-7.6651 -1.4030 2.3438
-5.2416 -2.9924 -0.6308
-8.3360 -3.0140 6.7396
-7.0693 2.4217 0.7855
-10.1637 2.4001 8.1559
-9.6462 2.4176 5.6690
-3.7249 -1.3099 -1.5412
-5.4857 1.6815 5.3058
-11.6804 0.7176 9.0663
-8.9516 3.9546 9.5599
-7.1909 0.9632 2.7129
-12.3626 -0.8228 5.1873
-6.4537 -4.5469 -2.0348
-5.7592 -3.0099 1.8561
-9.9196 -2.2739 2.2193
-3.0427 0.2305 2.3378
-8.2144 -1.5555 4.8122
```

Summary:
Density of states at the Fermi level in states/eV/f.u.: 3.389
Uncorrected formation energy in eV/atom: -1.063
SG: No. 62
Calculated total energy in eV/atom: -6.324
Energy relative to the lowest polymorph listed for this composition in meV per atom: 54.4



[8]
NaTaH2 after structural relaxation, computed with PBE.

The structure in POSCAR format:
```
NaTaH2
1.0
0.0000 2.7555 2.7555
2.7555 0.0000 2.7555
2.7555 2.7555 0.0000
Na H Ta
1 2 1
Cartesian
0.0000 0.0000 0.0000
4.1332 4.1332 4.1332
1.3777 1.3777 1.3777
2.7555 2.7555 2.7555
```

Summary:
Density of states at the Fermi level in states/eV/f.u.: 1.851
SG: No. 225
Calculated total energy in eV/atom: -3.907
Energy relative to the lowest polymorph listed for this composition in meV per atom: 821.3



[9]
K2PuTiS4 after structural relaxation, computed with PBE.

The structure in POSCAR format:
```
K2PuTiS4
1.0
-3.8297 4.7867 3.5161
-2.2289 -2.2158 -6.3296
0.2883 -6.6319 2.4240
Pu S K Ti
1 4 2 1
Cartesian
-2.2559 -3.1346 1.9937
-3.0931 -0.9393 0.6951
-3.1400 -5.2312 -2.0156
-4.8319 2.2641 0.2416
-0.4758 -4.2159 0.3000
0.0000 0.0000 0.0000
-3.5145 -0.9265 -2.3831
-0.9703 -4.4239 -1.9528
```

Summary:
Density of states at the Fermi level in states/eV/f.u.: 17.596
Uncorrected formation energy in eV/atom: -1.292
SG: No. 82
Calculated total energy in eV/atom: -6.408



[10]
MnReTe2P after structural relaxation, computed with PBE.

The structure in POSCAR format:
```
MnReTe2P
1.0
-0.5437 2.8748 -4.6235
1.0509 -4.5038 -2.9239
-4.3126 -0.9515 -0.0845
Mn Te Re P
1 2 1 1
Cartesian
-1.9027 -1.2902 -3.8160
0.5254 -2.2519 -1.4620
-0.2718 1.4374 -2.3118
0.0000 0.0000 0.0000
-2.1563 -0.4757 -0.0422
```

Summary:
Density of states at the Fermi level in states/eV/f.u.: 4.252
Uncorrected formation energy in eV/atom: 0.749
SG: No. 123
Calculated total energy in eV/atom: -5.913
Energy relative to the lowest polymorph listed for this composition in meV per atom: 0.0



[11]
RbCu4Te2Se after structural relaxation, computed with PBE.

The structure in POSCAR format:
```
RbCu4Te2Se
1.0
5.8870 -0.1883 0.0000
-0.6760 5.8511 0.0000
-2.6055 -2.8314 6.4336
Rb Cu Te Se
1 4 2 1
Cartesian
0.0000 0.0000 0.3649
0.8885 0.9655 4.3581
3.6177 1.8999 1.8507
1.5933 3.7629 1.8507
-0.8885 -0.9655 4.3581
-0.3380 2.9255 3.2798
2.9435 -0.0941 3.2798
0.0000 0.0000 6.3961
```

Summary:
Density of states at the Fermi level in states/eV/f.u.: 2.998
Uncorrected formation energy in eV/atom: -0.199
SG: No. 42
Calculated total energy in eV/atom: -3.589



[12]
ErPu3Tl3S8 after structural relaxation, computed with PBE.

The structure in POSCAR format:
```
ErPu3Tl3S8
1.0
-3.9389 -4.4007 -5.5330
0.6497 -2.6846 7.6076
-5.4990 6.7342 -1.4618
Tl S Pu Er
3 8 3 1
Cartesian
0.3248 -1.3423 3.8038
-1.6446 -3.5427 1.0373
0.0000 0.0000 0.0000
-4.7050 -1.4123 -4.4127
-4.0832 1.0611 5.0256
-6.0796 -1.1444 2.2524
-2.7086 0.7932 -1.6395
-2.3761 -0.5685 2.1635
-6.4121 0.2173 -1.5506
-4.3643 -2.7735 -0.5955
-4.4239 2.4224 1.2084
-4.7189 1.1667 -3.4974
-2.4247 2.0248 3.0729
-4.3941 -0.1756 0.3064
-2.7495 3.3671 -0.7309
```

Summary:
Density of states at the Fermi level in states/eV/f.u.: 33.010
Uncorrected formation energy in eV/atom: -1.307
SG: No. 12
Calculated total energy in eV/atom: -7.152



[13]
CuAgOF2 after structural relaxation, computed with PBE.

The structure in POSCAR format:
```
CuAgOF2
1.0
4.0976 0.0000 0.0000
0.0000 4.0976 0.0000
0.0000 0.0000 3.6781
Cu F O Ag
1 2 1 1
Cartesian
0.0000 0.0000 0.0000
0.0000 2.0488 0.0000
2.0488 0.0000 0.0000
0.0000 0.0000 1.8391
2.0488 2.0488 1.8391
```

Summary:
Density of states at the Fermi level in states/eV/f.u.: 3.052
Uncorrected formation energy in eV/atom: -0.789
SG: No. 123
Calculated total energy in eV/atom: -3.919
Energy relative to the lowest polymorph listed for this composition in meV per atom: 0.0



[14]
CeZrIn2 after structural relaxation, computed with PBE.

The structure in POSCAR format:
```
CeZrIn2
1.0
4.6073 0.0000 0.0000
0.0000 4.6572 0.0000
0.0000 0.0000 4.6572
In Ce Zr
2 1 1
Cartesian
0.0000 0.0000 2.3286
0.0000 2.3286 0.0000
2.3036 2.3286 2.3286
2.3036 0.0000 0.0000
```

Summary:
Density of states at the Fermi level in states/eV/f.u.: 6.561
SG: No. 123
Energy of formation from the pure elements in eV per formula unit: -0.942
Calculated total energy in eV/atom: -5.225



[15]
La2SiBi after structural relaxation, computed with PBE.

The structure in POSCAR format:
```
La2SiBi
1.0
-5.1731 -1.9105 0.0964
-2.3916 -1.2428 4.8121
-4.0726 3.1647 1.9542
Bi La Si
1 2 1
Cartesian
-5.8186 0.0057 3.4313
-8.7279 0.0086 5.1470
-2.9093 0.0029 1.7157
0.0000 0.0000 0.0000
```

Summary:
Density of states at the Fermi level in states/eV/f.u.: 7.820
Uncorrected formation energy in eV/atom: -0.526
SG: No. 225
Calculated total energy in eV/atom: -5.316
Energy relative to the lowest polymorph listed for this composition in meV per atom: 190.9



[16]
Sc5Ag4Os after structural relaxation, computed with PBE.

The structure in POSCAR format:
```
Sc5Ag4Os
1.0
-2.3595 -1.0483 -2.1109
-0.2048 -2.8844 1.6613
-12.3142 6.8443 10.3655
Os Ag Sc
1 4 5
Cartesian
0.0000 0.0000 0.0000
-4.9109 2.7295 4.1338
-9.9227 5.5151 8.3525
-2.3914 1.3292 2.0130
-7.4032 4.1148 6.2317
-7.4392 1.4558 4.9580
-12.5260 4.2830 9.2398
-4.9286 0.0604 2.8447
-9.9498 2.8512 7.0713
-2.3524 -1.3715 0.6762
```

Summary:
Density of states at the Fermi level in states/eV/f.u.: 7.552
SG: No. 123
Energy of formation from the pure elements in eV per formula unit: -3.278
Calculated total energy in eV/atom: -5.757



[17]
La2Hg2I after structural relaxation, computed with PBE.

The structure in POSCAR format:
```
La2Hg2I
1.0
4.2859 0.0000 0.0000
0.0000 4.2859 0.0000
2.1430 2.1430 8.7402
La Hg I
2 2 1
Cartesian
4.2859 4.2859 6.8394
2.1430 2.1430 1.9008
4.2859 2.1430 4.3701
2.1430 4.2859 4.3701
0.0000 0.0000 0.0000
```

Summary:
Density of states at the Fermi level in states/eV/f.u.: 3.298
Uncorrected formation energy in eV/atom: -0.463
SG: No. 139
Calculated total energy in eV/atom: -2.864
Energy relative to the lowest polymorph listed for this composition in meV per atom: 239.1



[18]
Hf12Sb5C2 after structural relaxation, computed with PBE.

The structure in POSCAR format:
```
Hf12Sb5C2
1.0
-5.2671 1.9542 3.9174
1.5737 -8.5037 0.3709
5.3071 3.5557 5.3619
Hf Sb C
12 5 2
Cartesian
-1.5900 1.5663 3.0679
-3.9359 -0.3877 4.1064
3.2038 -4.5602 6.5823
2.8862 -4.3244 3.2960
-1.1049 -1.4380 2.0009
5.5497 -2.6062 5.5438
1.1397 0.4356 4.5603
0.6975 -3.5489 8.6951
0.4741 -3.4295 5.0900
2.7187 -1.5558 7.6494
-1.2724 1.3305 6.3542
0.9163 0.5550 0.9551
1.4452 1.1372 7.3628
2.6536 1.7778 2.6809
-1.2466 -1.1090 4.8641
2.8604 -1.8849 4.7862
0.1686 -4.1311 2.2874
-1.3908 0.5160 1.0344
-3.8763 1.4382 2.8830
```

Summary:
Density of states at the Fermi level in states/eV/f.u.: 13.388
Uncorrected formation energy in eV/atom: -0.297
SG: No. 12
Calculated total energy in eV/atom: -8.639



[19]
Pm2HoGa2 after structural relaxation, computed with PBE.

The structure in POSCAR format:
```
Pm2HoGa2
1.0
-2.1770 2.8869 -2.6666
-4.7267 -5.6525 -2.2606
-4.8076 1.7101 5.7763
Ga Pm Ho
4 4 2
Cartesian
-2.3941 -0.0257 1.9268
-7.1402 -3.9168 1.5889
-6.0305 -0.6446 4.2254
-3.5039 -3.2979 -0.7098
-6.5558 -2.6663 -1.3191
-8.2454 -0.9571 1.9107
-3.4660 -0.0985 -1.0616
-5.1555 1.6108 2.1681
-4.7672 -1.9712 1.7578
0.0000 0.0000 0.0000
```

Summary:
Density of states at the Fermi level in states/eV/f.u.: 5.784
SG: No. 127
Energy of formation from the pure elements in eV per formula unit: -2.579
Calculated total energy in eV/atom: -4.542
Energy relative to the lowest polymorph listed for this composition in meV per atom: 0.0



[20]
RbGa3Re after structural relaxation, computed with PBE.

The structure in POSCAR format:
```
RbGa3Re
1.0
-5.5325 1.0063 0.3886
-0.7604 -2.1973 -5.1348
-0.7652 -5.0923 2.2924
Re Ga Rb
1 3 1
Cartesian
-3.5290 -3.1417 -1.2269
-0.3826 -2.5462 1.1462
-2.7663 0.5032 0.1943
-0.3802 -1.0987 -2.5674
0.0000 0.0000 0.0000
```

Summary:
Density of states at the Fermi level in states/eV/f.u.: 5.689
SG: No. 221
Energy of formation from the pure elements in eV per formula unit: 11.570
Calculated total energy in eV/atom: -2.185
Energy relative to the lowest polymorph listed for this composition in meV per atom: 2365.8



[21]
Ce2Mo2N5 after structural relaxation, computed with PBE.

The structure in POSCAR format:
```
Ce2Mo2N5
1.0
-0.1610 2.8252 -1.8773
-6.5986 2.4051 1.1139
-1.1826 4.4984 3.7999
Mo N Ce
2 5 2
Cartesian
-2.5465 3.5929 2.5540
-5.3956 6.1358 0.4825
-1.8805 4.5800 0.9110
0.0000 0.0000 0.0000
-6.0617 5.1487 2.1254
-4.0961 7.1489 1.8957
-3.8460 2.5798 1.1408
-6.3407 7.6867 2.8975
-1.6015 2.0420 0.1390
```

Summary:
Density of states at the Fermi level in states/eV/f.u.: 6.510
Uncorrected formation energy in eV/atom: -0.936
SG: No. 12
Calculated total energy in eV/atom: -9.287
Energy relative to the lowest polymorph listed for this composition in meV per atom: 0.0



[22]
Na15Bi after structural relaxation, computed with PBE.

The structure in POSCAR format:
```
Na15Bi
1.0
7.4044 0.0000 0.0000
-3.7022 6.4124 0.0000
0.0000 0.0000 11.7769
Na Bi
15 1
Cartesian
1.8191 3.2247 0.0000
0.0000 4.2749 8.6995
3.7022 4.3355 8.9833
0.0000 6.3754 0.0000
5.5106 3.1815 5.8885
0.0000 0.0000 5.8885
0.0000 4.2749 3.0774
-1.8191 3.2247 0.0000
5.6058 1.0384 2.7936
1.7986 1.0384 2.7936
3.7022 0.0493 5.8885
3.7022 4.3355 2.7936
1.7986 1.0384 8.9833
5.6058 1.0384 8.9833
1.8938 3.1815 5.8885
0.0000 0.0000 0.0000
```

Summary:
Density of states at the Fermi level in states/eV/f.u.: 7.670
SG: No. 187
Energy of formation from the pure elements in eV per formula unit: -0.726
Calculated total energy in eV/atom: -1.525